Record 1
VASP calculation (PBE) on crystalline K2U3SnS8 at its relaxed geometry.

Geometry as CIF:
```
data_K2U3SnS8
_chemical_formula_sum 'K2 U3 Sn1 S8'
_symmetry_space_group_name_H-M 'P 1'
_symmetry_Int_Tables_number 1
_symmetry_space_group_name_Hall 'P 1'
_cell_length_a 8.091
_cell_length_b 8.091
_cell_length_c 9.033
_cell_angle_alpha 63.40
_cell_angle_beta 63.40
_cell_angle_gamma 60.00
loop_
_atom_site_label
_atom_site_type_symbol
_atom_site_fract_x
_atom_site_fract_y
_atom_site_fract_z
S1 S 0.242 0.697 0.820
U1 U 0.003 0.497 0.002
S2 S 0.724 0.724 0.828
S3 S 0.269 0.269 0.192
S4 S 0.763 0.763 0.196
K1 K 0.497 0.497 0.508
Sn1 Sn 0.887 0.887 0.339
S5 S 0.278 0.763 0.196
U2 U 0.497 0.497 0.002
S6 S 0.697 0.242 0.820
K2 K 0.133 0.133 0.600
S7 S 0.763 0.278 0.196
U3 U 0.497 0.003 0.002
S8 S 0.242 0.242 0.820
```

Calculated values
energy relative to the elements, uncorrected	-1230	meV per atom

---

Record 2
VASP calculation (PBE) on crystalline K2VSnS4 at its relaxed geometry.

Geometry as CIF:
```
data_K2VSnS4
_chemical_formula_sum 'K2 V1 Sn1 S4'
_symmetry_space_group_name_H-M 'P 1'
_symmetry_Int_Tables_number 1
_symmetry_space_group_name_Hall 'P 1'
_cell_length_a 6.731
_cell_length_b 6.731
_cell_length_c 6.731
_cell_angle_alpha 104.36
_cell_angle_beta 112.09
_cell_angle_gamma 112.09
loop_
_atom_site_label
_atom_site_type_symbol
_atom_site_fract_x
_atom_site_fract_y
_atom_site_fract_z
Sn1 Sn 0.500 0.250 0.750
S1 S 0.959 0.515 0.163
K1 K 0.000 0.000 0.000
S2 S 0.352 0.837 0.796
S3 S 0.648 0.444 0.485
S4 S 0.041 0.204 0.556
V1 V 0.000 0.500 0.500
K2 K 0.500 0.750 0.250
```

Calculated values
energy relative to the elements, uncorrected	-869	meV per atom

---

Record 3
VASP calculation (PBE) on crystalline KYSnS3 at its relaxed geometry.

Geometry as CIF:
```
data_KYSnS3
_chemical_formula_sum 'K2 Y2 Sn2 S6'
_symmetry_space_group_name_H-M 'P 1'
_symmetry_Int_Tables_number 1
_symmetry_space_group_name_Hall 'P 1'
_cell_length_a 3.977
_cell_length_b 8.627
_cell_length_c 11.266
_cell_angle_alpha 90.00
_cell_angle_beta 90.00
_cell_angle_gamma 103.33
loop_
_atom_site_label
_atom_site_type_symbol
_atom_site_fract_x
_atom_site_fract_y
_atom_site_fract_z
Y1 Y 0.000 0.000 0.000
S1 S 0.985 0.969 0.750
Sn1 Sn 0.379 0.758 0.750
S2 S 0.610 0.221 0.497
K1 K 0.673 0.346 0.750
S3 S 0.390 0.779 0.997
Y2 Y 0.000 0.000 0.500
S4 S 0.015 0.031 0.250
S5 S 0.390 0.779 0.503
K2 K 0.327 0.654 0.250
S6 S 0.610 0.221 0.003
Sn2 Sn 0.621 0.242 0.250
```

Calculated values
energy relative to the elements, uncorrected	-1272	meV per atom

---

Record 4
VASP calculation (PBE) on crystalline K3Y3SnS8 at its relaxed geometry.

Geometry as CIF:
```
data_K3Y3SnS8
_chemical_formula_sum 'K3 Y3 Sn1 S8'
_symmetry_space_group_name_H-M 'P 1'
_symmetry_Int_Tables_number 1
_symmetry_space_group_name_Hall 'P 1'
_cell_length_a 7.965
_cell_length_b 7.967
_cell_length_c 8.822
_cell_angle_alpha 116.86
_cell_angle_beta 90.00
_cell_angle_gamma 119.99
loop_
_atom_site_label
_atom_site_type_symbol
_atom_site_fract_x
_atom_site_fract_y
_atom_site_fract_z
K1 K 0.500 0.500 0.000
K2 K 0.000 0.000 0.000
S1 S 0.267 0.534 0.300
Y1 Y 0.500 0.500 0.500
Sn1 Sn 0.000 0.000 0.500
S2 S 0.252 0.029 0.305
Y2 Y 0.000 0.500 0.500
K3 K 0.000 0.500 0.000
S3 S 0.224 0.447 0.695
S4 S 0.748 0.971 0.695
Y3 Y 0.500 0.000 0.500
S5 S 0.733 0.466 0.700
S6 S 0.776 0.029 0.305
S7 S 0.776 0.553 0.305
S8 S 0.224 0.971 0.695
```

Calculated values
energy relative to the elements, uncorrected	-1579	meV per atom

---

Record 5
VASP calculation (PBE) on crystalline K3Y2SnS6 at its relaxed geometry.

Geometry as CIF:
```
data_K3Y2SnS6
_chemical_formula_sum 'K3 Y2 Sn1 S6'
_symmetry_space_group_name_H-M 'P 1'
_symmetry_Int_Tables_number 1
_symmetry_space_group_name_Hall 'P 1'
_cell_length_a 7.036
_cell_length_b 7.036
_cell_length_c 7.715
_cell_angle_alpha 98.73
_cell_angle_beta 98.73
_cell_angle_gamma 120.00
loop_
_atom_site_label
_atom_site_type_symbol
_atom_site_fract_x
_atom_site_fract_y
_atom_site_fract_z
K1 K 0.165 0.835 0.500
S1 S 0.067 0.401 0.202
Sn1 Sn 0.000 0.000 0.000
Y1 Y 0.333 0.667 0.000
S2 S 0.401 0.067 0.202
S3 S 0.933 0.599 0.798
K2 K 0.500 0.500 0.500
Y2 Y 0.667 0.333 0.000
S4 S 0.599 0.933 0.798
K3 K 0.835 0.165 0.500
S5 S 0.266 0.266 0.799
S6 S 0.734 0.734 0.201
```

Calculated values
energy relative to the elements, uncorrected	-1492	meV per atom

---

Record 6
VASP calculation (PBE) on crystalline K4Y3SnS8 at its relaxed geometry.

Geometry as CIF:
```
data_K4Y3SnS8
_chemical_formula_sum 'K4 Y3 Sn1 S8'
_symmetry_space_group_name_H-M 'P 1'
_symmetry_Int_Tables_number 1
_symmetry_space_group_name_Hall 'P 1'
_cell_length_a 8.118
_cell_length_b 8.727
_cell_length_c 8.119
_cell_angle_alpha 117.73
_cell_angle_beta 120.00
_cell_angle_gamma 90.00
loop_
_atom_site_label
_atom_site_type_symbol
_atom_site_fract_x
_atom_site_fract_y
_atom_site_fract_z
K1 K 0.500 0.000 0.000
S1 S 0.233 0.701 0.967
S2 S 0.266 0.297 0.531
S3 S 0.766 0.299 0.533
S4 S 0.734 0.703 0.469
K2 K 0.000 0.000 0.000
Sn1 Sn 0.000 0.500 0.000
Y1 Y 0.500 0.500 0.500
K3 K 0.500 0.000 0.500
Y2 Y 0.000 0.500 0.500
K4 K 0.000 0.000 0.500
S5 S 0.767 0.299 0.033
S6 S 0.234 0.701 0.467
Y3 Y 0.500 0.500 0.000
S7 S 0.734 0.701 0.967
S8 S 0.266 0.299 0.033
```

Calculated values
energy relative to the elements, uncorrected	-1599	meV per atom

---

Record order is preserved below.
DFT total energy: -0.2370; -0.1782; -0.1934; -0.2043; -0.1926; -0.1984 Ha/atom